A plane-wave DFT calculation with PBE was carried out for a relaxed structure of ScCdCu2H.

CIF file:
```
data_ScCdCu2H
_chemical_formula_sum 'Sc1 Cd1 Cu2 H1'
_cell_length_a 4.2840
_cell_length_b 4.2840
_cell_length_c 3.8425
_cell_angle_alpha 90.00
_cell_angle_beta 90.00
_cell_angle_gamma 90.00
_space_group_name_H-M_alt 'P 4/m m m'
_space_group_IT_number 123
_space_group_name_Hall '-P 4 2'
loop_
_atom_site_label
_atom_site_type_symbol
_atom_site_fract_x
_atom_site_fract_y
_atom_site_fract_z
Sc1 Sc 0.0000 0.0000 0.0000
Cd1 Cd 0.5000 0.5000 0.0000
Cu1 Cu 0.0000 0.5000 0.5000
H1 H 0.0000 0.0000 0.5000
```

Summary:
* volume: 14.104 A^3/atom
* energy: -3.831 eV per atom

***

A plane-wave DFT calculation with PBE was carried out for a relaxed structure of NaReTcO6.

CIF file:
```
data_NaReTcO6
_chemical_formula_sum 'Na1 Re1 Tc1 O6'
_cell_length_a 5.2758
_cell_length_b 5.2758
_cell_length_c 5.1332
_cell_angle_alpha 90.00
_cell_angle_beta 90.00
_cell_angle_gamma 120.00
_space_group_name_H-M_alt 'P 3 1 2'
_space_group_IT_number 149
_space_group_name_Hall 'P 3 2'
loop_
_atom_site_label
_atom_site_type_symbol
_atom_site_fract_x
_atom_site_fract_y
_atom_site_fract_z
Na1 Na 0.0000 0.0000 0.0000
Re1 Re 0.3333 0.6667 0.5000
Tc1 Tc 0.6667 0.3333 0.5000
O1 O 0.0127 0.3863 0.7064
```

Summary:
* volume: 13.748 A^3/atom
* formation energy (no corrections): -1.49 eV per atom

***

A plane-wave DFT calculation with PBE was carried out for a relaxed structure of La3TbAl2.

CIF file:
```
data_La3TbAl2
_chemical_formula_sum 'La6 Tb2 Al4'
_cell_length_a 5.2895
_cell_length_b 9.9327
_cell_length_c 6.7835
_cell_angle_alpha 90.00
_cell_angle_beta 90.00
_cell_angle_gamma 90.00
_space_group_name_H-M_alt 'P m c 21'
_space_group_IT_number 26
_space_group_name_Hall 'P 2c -2'
loop_
_atom_site_label
_atom_site_type_symbol
_atom_site_fract_x
_atom_site_fract_y
_atom_site_fract_z
La1 La 0.0000 0.0482 0.0000
La2 La 0.0000 0.3305 0.3369
La3 La 0.5000 0.1767 0.7255
Tb1 Tb 0.5000 0.4513 0.0517
Al1 Al 0.0000 0.3562 0.8250
Al2 Al 0.5000 0.1511 0.2376
```

Summary:
* volume: 29.700 A^3/atom
* ΔH_f (0 K): -0.26 eV/atom

***

A plane-wave DFT calculation with PBE was carried out for a relaxed structure of Nb6Ga3Co.

CIF file:
```
data_Nb6Ga3Co
_chemical_formula_sum 'Nb12 Ga6 Co2'
_cell_length_a 4.9324
_cell_length_b 7.6883
_cell_length_c 10.3058
_cell_angle_alpha 90.00
_cell_angle_beta 117.42
_cell_angle_gamma 90.00
_space_group_name_H-M_alt 'P 1 21/c 1'
_space_group_IT_number 14
_space_group_name_Hall '-P 2ybc'
loop_
_atom_site_label
_atom_site_type_symbol
_atom_site_fract_x
_atom_site_fract_y
_atom_site_fract_z
Nb1 Nb 0.0061 0.1646 0.0620
Nb2 Nb 0.3779 0.1824 0.4312
Nb3 Nb 0.4036 0.5568 0.2604
Ga1 Ga 0.0000 0.0000 0.5000
Ga2 Ga 0.1343 0.6215 0.7570
Co1 Co 0.5000 0.0000 0.0000
```

Summary:
* volume: 17.345 A^3/atom
* ΔH_f (0 K): -0.01 eV/atom